[1]
# Hf4OsN PBE relaxed
# electronic total energy	-10.6005	eV/atom
# formation energy without anion corrections	-0.706	eV/atom
data_Hf4OsN
_symmetry_space_group_name_H-M 'C 1 2/c 1'
_symmetry_Int_Tables_number 15
_cell_length_a 13.734
_cell_length_b 4.923
_cell_length_c 6.394
_cell_angle_alpha 90.00
_cell_angle_beta 104.07
_cell_angle_gamma 90.00
loop_
_symmetry_equiv_pos_as_xyz
'x,y,z'
'-x,-y,-z'
'-x,y,-z+1/2'
'x,-y,z+1/2'
'x+1/2,y+1/2,z'
'-x+1/2,-y+1/2,-z'
'-x+1/2,y+1/2,-z+1/2'
'x+1/2,-y+1/2,z+1/2'
loop_
_atom_site_label
_atom_site_fract_x
_atom_site_fract_y
_atom_site_fract_z
Hf1 0.101 0.012 0.432
Hf2 0.187 0.482 0.205
Os1 0.000 0.481 0.750
N1 0.250 0.250 0.500



[2]
# HfOsPdN2 PBE relaxed
# electronic total energy	-8.1148	eV/atom
# formation energy without anion corrections	0.491	eV/atom
data_HfOsPdN2
_symmetry_space_group_name_H-M 'P 4/m m m'
_symmetry_Int_Tables_number 123
_symmetry_space_group_name_Hall '-P 4 2'
_cell_length_a 3.806
_cell_length_b 3.806
_cell_length_c 5.255
_cell_angle_alpha 90.00
_cell_angle_beta 90.00
_cell_angle_gamma 90.00
loop_
_atom_site_label
_atom_site_fract_x
_atom_site_fract_y
_atom_site_fract_z
Hf1 0.000 0.000 0.000
Os1 0.500 0.500 0.500
Pd1 0.500 0.500 0.000
N1 0.000 0.500 0.500



[3]
# HfSc2OsN PBE relaxed
# electronic total energy	-9.2692	eV/atom
# formation energy without anion corrections	-0.835	eV/atom
data_HfSc2OsN
_symmetry_space_group_name_H-M 'P 4/m m m'
_symmetry_Int_Tables_number 123
_symmetry_space_group_name_Hall '-P 4 2'
_cell_length_a 4.257
_cell_length_b 4.257
_cell_length_c 4.500
_cell_angle_alpha 90.00
_cell_angle_beta 90.00
_cell_angle_gamma 90.00
loop_
_atom_site_label
_atom_site_fract_x
_atom_site_fract_y
_atom_site_fract_z
Hf1 0.000 0.000 0.000
Sc1 0.000 0.500 0.500
Os1 0.500 0.500 0.000
N1 0.000 0.000 0.500



[4]
# HfOsSeN2 PBE relaxed
# electronic total energy	-7.1308	eV/atom
# formation energy without anion corrections	1.133	eV/atom
data_HfOsSeN2
_symmetry_space_group_name_H-M 'P 4/m m m'
_symmetry_Int_Tables_number 123
_symmetry_space_group_name_Hall '-P 4 2'
_cell_length_a 4.042
_cell_length_b 4.042
_cell_length_c 5.545
_cell_angle_alpha 90.00
_cell_angle_beta 90.00
_cell_angle_gamma 90.00
loop_
_atom_site_label
_atom_site_fract_x
_atom_site_fract_y
_atom_site_fract_z
Hf1 0.000 0.000 0.000
Os1 0.500 0.500 0.500
Se1 0.000 0.000 0.500
N1 0.000 0.500 0.000



[5]
# HfOsSeN2 PBE relaxed
# electronic total energy	-7.7475	eV/atom
# formation energy without anion corrections	0.516	eV/atom
data_HfOsSeN2
_symmetry_space_group_name_H-M 'P 4/m m m'
_symmetry_Int_Tables_number 123
_symmetry_space_group_name_Hall '-P 4 2'
_cell_length_a 3.855
_cell_length_b 3.855
_cell_length_c 5.129
_cell_angle_alpha 90.00
_cell_angle_beta 90.00
_cell_angle_gamma 90.00
loop_
_atom_site_label
_atom_site_fract_x
_atom_site_fract_y
_atom_site_fract_z
Hf1 0.000 0.000 0.000
Os1 0.500 0.500 0.500
Se1 0.500 0.500 0.000
N1 0.000 0.500 0.500



[6]
# HfTeOsN2 PBE relaxed
# electronic total energy	-7.4055	eV/atom
# formation energy without anion corrections	0.790	eV/atom
data_HfTeOsN2
_symmetry_space_group_name_H-M 'P 4/m m m'
_symmetry_Int_Tables_number 123
_symmetry_space_group_name_Hall '-P 4 2'
_cell_length_a 3.923
_cell_length_b 3.923
_cell_length_c 5.565
_cell_angle_alpha 90.00
_cell_angle_beta 90.00
_cell_angle_gamma 90.00
loop_
_atom_site_label
_atom_site_fract_x
_atom_site_fract_y
_atom_site_fract_z
Hf1 0.000 0.000 0.000
Te1 0.500 0.500 0.000
Os1 0.500 0.500 0.500
N1 0.000 0.500 0.500



[7]
# HfTe2OsN PBE relaxed
# electronic total energy	-6.8306	eV/atom
# formation energy without anion corrections	0.328	eV/atom
data_HfTe2OsN
_symmetry_space_group_name_H-M 'P 4/m m m'
_symmetry_Int_Tables_number 123
_symmetry_space_group_name_Hall '-P 4 2'
_cell_length_a 5.427
_cell_length_b 5.427
_cell_length_c 3.686
_cell_angle_alpha 90.00
_cell_angle_beta 90.00
_cell_angle_gamma 90.00
loop_
_atom_site_label
_atom_site_fract_x
_atom_site_fract_y
_atom_site_fract_z
Hf1 0.000 0.000 0.000
Te1 0.000 0.500 0.500
Os1 0.500 0.500 0.500
N1 0.500 0.500 0.000



[8]
# HfTeOsN2 PBE relaxed
# electronic total energy	-7.0585	eV/atom
# formation energy without anion corrections	1.137	eV/atom
data_HfTeOsN2
_symmetry_space_group_name_H-M 'P 4/m m m'
_symmetry_Int_Tables_number 123
_symmetry_space_group_name_Hall '-P 4 2'
_cell_length_a 4.062
_cell_length_b 4.062
_cell_length_c 6.023
_cell_angle_alpha 90.00
_cell_angle_beta 90.00
_cell_angle_gamma 90.00
loop_
_atom_site_label
_atom_site_fract_x
_atom_site_fract_y
_atom_site_fract_z
Hf1 0.000 0.000 0.000
Te1 0.000 0.000 0.500
Os1 0.500 0.500 0.500
N1 0.000 0.500 0.000



[9]
# HfTe2OsN PBE relaxed
# electronic total energy	-6.1617	eV/atom
# formation energy without anion corrections	0.997	eV/atom
data_HfTe2OsN
_symmetry_space_group_name_H-M 'P 4/m m m'
_symmetry_Int_Tables_number 123
_symmetry_space_group_name_Hall '-P 4 2'
_cell_length_a 5.590
_cell_length_b 5.590
_cell_length_c 3.878
_cell_angle_alpha 90.00
_cell_angle_beta 90.00
_cell_angle_gamma 90.00
loop_
_atom_site_label
_atom_site_fract_x
_atom_site_fract_y
_atom_site_fract_z
Hf1 0.000 0.000 0.000
Te1 0.000 0.500 0.000
Os1 0.500 0.500 0.500
N1 0.000 0.000 0.500



[10]
# Hf2TiOsN PBE relaxed
# electronic total energy	-10.3399	eV/atom
# formation energy without anion corrections	-0.868	eV/atom
data_Hf2TiOsN
_symmetry_space_group_name_H-M 'P 4/m m m'
_symmetry_Int_Tables_number 123
_symmetry_space_group_name_Hall '-P 4 2'
_cell_length_a 4.461
_cell_length_b 4.461
_cell_length_c 3.924
_cell_angle_alpha 90.00
_cell_angle_beta 90.00
_cell_angle_gamma 90.00
loop_
_atom_site_label
_atom_site_fract_x
_atom_site_fract_y
_atom_site_fract_z
Hf1 0.000 0.500 0.000
Ti1 0.000 0.000 0.500
Os1 0.500 0.500 0.500
N1 0.000 0.000 0.000



[11]
# Hf2VOsN PBE relaxed
# electronic total energy	-10.5115	eV/atom
# formation energy without anion corrections	-0.795	eV/atom
data_Hf2VOsN
_symmetry_space_group_name_H-M 'P 4/m m m'
_symmetry_Int_Tables_number 123
_symmetry_space_group_name_Hall '-P 4 2'
_cell_length_a 4.488
_cell_length_b 4.488
_cell_length_c 3.740
_cell_angle_alpha 90.00
_cell_angle_beta 90.00
_cell_angle_gamma 90.00
loop_
_atom_site_label
_atom_site_fract_x
_atom_site_fract_y
_atom_site_fract_z
Hf1 0.000 0.500 0.000
V1 0.000 0.000 0.500
Os1 0.500 0.500 0.500
N1 0.000 0.000 0.000



[12]
# Hf4PN2 PBE relaxed
# electronic total energy	-10.2163	eV/atom
# formation energy without anion corrections	-1.377	eV/atom
data_Hf4PN2
_symmetry_space_group_name_H-M 'C m c m'
_symmetry_Int_Tables_number 63
_symmetry_space_group_name_Hall '-C 2c 2'
_cell_length_a 3.336
_cell_length_b 10.773
_cell_length_c 11.311
_cell_angle_alpha 90.00
_cell_angle_beta 90.00
_cell_angle_gamma 90.00
loop_
_atom_site_label
_atom_site_fract_x
_atom_site_fract_y
_atom_site_fract_z
Hf1 0.000 0.000 0.000
Hf2 0.000 0.272 0.111
Hf3 0.000 0.427 0.750
P1 0.000 0.108 0.750
N1 0.000 0.364 0.563



[13]
# Hf8P2N PBE relaxed
# electronic total energy	-9.6545	eV/atom
# formation energy without anion corrections	-0.675	eV/atom
data_Hf8P2N
_symmetry_space_group_name_H-M 'C 1 2/m 1'
_symmetry_Int_Tables_number 12
_cell_length_a 11.864
_cell_length_b 6.907
_cell_length_c 5.526
_cell_angle_alpha 90.00
_cell_angle_beta 107.49
_cell_angle_gamma 90.00
loop_
_symmetry_equiv_pos_as_xyz
'x,y,z'
'-x,-y,-z'
'-x,y,-z'
'x,-y,z'
'x+1/2,y+1/2,z'
'-x+1/2,-y+1/2,-z'
'-x+1/2,y+1/2,-z'
'x+1/2,-y+1/2,z'
loop_
_atom_site_label
_atom_site_fract_x
_atom_site_fract_y
_atom_site_fract_z
Hf1 0.098 0.238 0.261
Hf2 0.122 0.500 0.802
Hf3 0.130 0.000 0.793
P1 0.242 0.500 0.498
N1 0.000 0.000 0.000



[14]
# Hf6PN3 PBE relaxed
# electronic total energy	-10.3005	eV/atom
# formation energy without anion corrections	-1.290	eV/atom
data_Hf6PN3
_symmetry_space_group_name_H-M 'P 1 21/m 1'
_symmetry_Int_Tables_number 11
_cell_length_a 9.812
_cell_length_b 3.269
_cell_length_c 10.464
_cell_angle_alpha 90.00
_cell_angle_beta 116.61
_cell_angle_gamma 90.00
loop_
_symmetry_equiv_pos_as_xyz
'x,y,z'
'-x,-y,-z'
'-x,y+1/2,-z'
'x,-y+1/2,z'
loop_
_atom_site_label
_atom_site_fract_x
_atom_site_fract_y
_atom_site_fract_z
Hf1 0.032 0.250 0.384
Hf2 0.104 0.750 0.938
Hf3 0.232 0.750 0.267
Hf4 0.263 0.250 0.790
Hf5 0.416 0.250 0.568
Hf6 0.422 0.250 0.120
P1 0.214 0.750 0.578
N1 0.026 0.250 0.776
N2 0.351 0.750 0.947
N3 0.410 0.250 0.339



[15]
# Hf5P4N PBE relaxed
# electronic total energy	-9.1943	eV/atom
# formation energy without anion corrections	-1.221	eV/atom
data_Hf5P4N
_symmetry_space_group_name_H-M 'I 4/m'
_symmetry_Int_Tables_number 87
_symmetry_space_group_name_Hall '-I 4'
_cell_length_a 8.077
_cell_length_b 8.077
_cell_length_c 5.146
_cell_angle_alpha 90.00
_cell_angle_beta 90.00
_cell_angle_gamma 90.00
loop_
_atom_site_label
_atom_site_fract_x
_atom_site_fract_y
_atom_site_fract_z
Hf1 0.000 0.000 0.000
Hf2 0.095 0.737 0.500
P1 0.090 0.692 0.000
N1 0.000 0.000 0.500



[16]
# Hf4PN2 PBE relaxed
# electronic total energy	-9.0042	eV/atom
# formation energy without anion corrections	-0.165	eV/atom
data_Hf4PN2
_symmetry_space_group_name_H-M 'I 4/m m m'
_symmetry_Int_Tables_number 139
_symmetry_space_group_name_Hall '-I 4 2'
_cell_length_a 4.702
_cell_length_b 4.702
_cell_length_c 11.688
_cell_angle_alpha 90.00
_cell_angle_beta 90.00
_cell_angle_gamma 90.00
loop_
_atom_site_label
_atom_site_fract_x
_atom_site_fract_y
_atom_site_fract_z
Hf1 0.000 0.000 0.240
Hf2 0.000 0.500 0.000
P1 0.000 0.000 0.000
N1 0.000 0.000 0.403



[17]
# Hf6P2N PBE relaxed
# electronic total energy	-9.8294	eV/atom
# formation energy without anion corrections	-1.067	eV/atom
data_Hf6P2N
_symmetry_space_group_name_H-M 'P 1 21/c 1'
_symmetry_Int_Tables_number 14
_cell_length_a 5.768
_cell_length_b 6.540
_cell_length_c 10.056
_cell_angle_alpha 90.00
_cell_angle_beta 124.33
_cell_angle_gamma 90.00
loop_
_symmetry_equiv_pos_as_xyz
'x,y,z'
'-x,-y,-z'
'-x,y+1/2,-z+1/2'
'x,-y+1/2,z+1/2'
loop_
_atom_site_label
_atom_site_fract_x
_atom_site_fract_y
_atom_site_fract_z
Hf1 0.104 0.178 0.448
Hf2 0.301 0.691 0.446
Hf3 0.392 0.023 0.249
P1 0.184 0.122 0.747
N1 0.500 0.000 0.500



[18]
# Hf6PN PBE relaxed
# electronic total energy	-9.8774	eV/atom
# formation energy without anion corrections	-0.695	eV/atom
data_Hf6PN
_symmetry_space_group_name_H-M 'C 1 2/m 1'
_symmetry_Int_Tables_number 12
_cell_length_a 5.855
_cell_length_b 9.647
_cell_length_c 5.792
_cell_angle_alpha 90.00
_cell_angle_beta 107.97
_cell_angle_gamma 90.00
loop_
_symmetry_equiv_pos_as_xyz
'x,y,z'
'-x,-y,-z'
'-x,y,-z'
'x,-y,z'
'x+1/2,y+1/2,z'
'-x+1/2,-y+1/2,-z'
'-x+1/2,y+1/2,-z'
'x+1/2,-y+1/2,z'
loop_
_atom_site_label
_atom_site_fract_x
_atom_site_fract_y
_atom_site_fract_z
Hf1 0.218 0.169 0.233
Hf2 0.242 0.000 0.774
P1 0.000 0.500 0.500
N1 0.000 0.000 0.000



[19]
# HfP3N PBE relaxed
# electronic total energy	-5.4998	eV/atom
# formation energy without anion corrections	1.402	eV/atom
data_HfP3N
_symmetry_space_group_name_H-M 'P m -3 m'
_symmetry_Int_Tables_number 221
_symmetry_space_group_name_Hall '-P 4 2 3'
_cell_length_a 4.988
_cell_length_b 4.988
_cell_length_c 4.988
_cell_angle_alpha 90.00
_cell_angle_beta 90.00
_cell_angle_gamma 90.00
loop_
_atom_site_label
_atom_site_fract_x
_atom_site_fract_y
_atom_site_fract_z
Hf1 0.000 0.000 0.000
P1 0.000 0.000 0.500
N1 0.500 0.500 0.500



[20]
# Hf8P2N3 PBE relaxed
# electronic total energy	-9.9225	eV/atom
# formation energy without anion corrections	-1.044	eV/atom
data_Hf8P2N3
_symmetry_space_group_name_H-M 'C 1 2/m 1'
_symmetry_Int_Tables_number 12
_cell_length_a 12.140
_cell_length_b 6.613
_cell_length_c 5.781
_cell_angle_alpha 90.00
_cell_angle_beta 107.39
_cell_angle_gamma 90.00
loop_
_symmetry_equiv_pos_as_xyz
'x,y,z'
'-x,-y,-z'
'-x,y,-z'
'x,-y,z'
'x+1/2,y+1/2,z'
'-x+1/2,-y+1/2,-z'
'-x+1/2,y+1/2,-z'
'x+1/2,-y+1/2,z'
loop_
_atom_site_label
_atom_site_fract_x
_atom_site_fract_y
_atom_site_fract_z
Hf1 0.103 0.000 0.420
Hf2 0.104 0.500 0.393
Hf3 0.105 0.251 0.900
P1 0.248 0.000 0.180
N1 0.000 0.265 0.500
N2 0.000 0.500 0.000